[1]
{"formula": "Pr4GeC", "functional": "PBE", "state": "relaxed", "e_form_ev_per_atom": -0.21, "m_tot_mub_per_fu": 0.0, "lattice": [[6.100, -0.753, 0.000], [-3.946, 6.509, 0.000], [0.000, 0.000, 9.796]], "species": ["Pr", "Pr", "Pr", "Pr", "Pr", "Pr", "Pr", "Pr", "C", "C", "Ge", "Ge"], "fractional_positions": [[0.000, 0.262, 0.543], [0.000, 0.738, 0.043], [0.000, 0.262, 0.957], [0.000, 0.738, 0.457], [0.414, 0.120, 0.750], [0.586, 0.880, 0.250], [0.415, 0.294, 0.250], [0.585, 0.706, 0.750], [0.000, 0.913, 0.250], [0.000, 0.087, 0.750], [0.000, 0.579, 0.750], [0.000, 0.421, 0.250]]}

=====

[2]
{"formula": "Pr12Ge3C5", "functional": "PBE", "state": "relaxed", "e_form_ev_per_atom": -0.19, "m_tot_mub_per_fu": 0.0, "lattice": [[-2.649, -4.178, 13.237], [13.851, 2.362, -1.512], [-7.130, 11.899, -2.700]], "species": ["Ge", "Ge", "Ge", "Ge", "Ge", "Ge", "Ge", "Ge", "Ge", "Ge", "Ge", "Ge", "C", "C", "C", "C", "C", "C", "C", "C", "C", "C", "C", "C", "C", "C", "C", "C", "C", "C", "C", "C", "Pr", "Pr", "Pr", "Pr", "Pr", "Pr", "Pr", "Pr", "Pr", "Pr", "Pr", "Pr", "Pr", "Pr", "Pr", "Pr", "Pr", "Pr", "Pr", "Pr", "Pr", "Pr", "Pr", "Pr", "Pr", "Pr", "Pr", "Pr", "Pr", "Pr", "Pr", "Pr", "Pr", "Pr", "Pr", "Pr", "Pr", "Pr", "Pr", "Pr", "Pr", "Pr", "Pr", "Pr", "Pr", "Pr", "Pr", "Pr"], "fractional_positions": [[0.875, 0.750, 0.125], [0.250, 0.625, 0.875], [0.375, 0.625, 0.250], [0.875, 0.125, 0.250], [0.750, 0.875, 0.625], [0.625, 0.375, 0.750], [0.125, 0.250, 0.875], [0.375, 0.750, 0.625], [0.250, 0.125, 0.375], [0.625, 0.250, 0.375], [0.125, 0.875, 0.750], [0.750, 0.375, 0.125], [0.375, 0.125, 0.750], [0.125, 0.750, 0.375], [0.750, 0.125, 0.875], [0.375, 0.250, 0.125], [0.500, 0.000, 0.000], [0.875, 0.625, 0.750], [0.875, 0.250, 0.625], [0.500, 0.500, 0.500], [0.000, 0.500, 0.000], [0.750, 0.625, 0.375], [0.500, 0.000, 0.500], [0.625, 0.750, 0.875], [0.000, 0.500, 0.500], [0.125, 0.375, 0.250], [0.500, 0.500, 0.000], [0.000, 0.000, 0.000], [0.625, 0.875, 0.250], [0.250, 0.875, 0.125], [0.000, 0.000, 0.500], [0.250, 0.375, 0.625], [0.414, 0.294, 0.320], [0.294, 0.414, 0.820], [0.094, 0.914, 0.120], [0.526, 0.320, 0.906], [0.086, 0.906, 0.380], [0.706, 0.120, 0.026], [0.620, 0.594, 0.914], [0.794, 0.320, 0.914], [0.026, 0.406, 0.820], [0.880, 0.586, 0.906], [0.706, 0.586, 0.180], [0.906, 0.086, 0.880], [0.180, 0.094, 0.974], [0.974, 0.380, 0.294], [0.474, 0.794, 0.880], [0.680, 0.474, 0.594], [0.094, 0.180, 0.474], [0.180, 0.086, 0.706], [0.594, 0.620, 0.414], [0.206, 0.680, 0.086], [0.406, 0.380, 0.586], [0.820, 0.906, 0.026], [0.974, 0.594, 0.180], [0.120, 0.706, 0.526], [0.406, 0.026, 0.320], [0.526, 0.206, 0.120], [0.620, 0.026, 0.206], [0.914, 0.820, 0.794], [0.474, 0.680, 0.094], [0.586, 0.706, 0.680], [0.794, 0.474, 0.380], [0.320, 0.526, 0.406], [0.026, 0.620, 0.706], [0.120, 0.414, 0.094], [0.320, 0.794, 0.414], [0.820, 0.914, 0.294], [0.914, 0.094, 0.620], [0.380, 0.406, 0.086], [0.906, 0.820, 0.526], [0.880, 0.294, 0.474], [0.594, 0.974, 0.680], [0.206, 0.526, 0.620], [0.086, 0.180, 0.206], [0.586, 0.880, 0.406], [0.680, 0.206, 0.586], [0.414, 0.120, 0.594], [0.294, 0.880, 0.974], [0.380, 0.974, 0.794]]}

=====

[3]
{"formula": "Pr3GeC", "functional": "PBE", "state": "relaxed", "e_form_ev_per_atom": -0.40, "m_tot_mub_per_fu": 0.0, "lattice": [[4.035, 0.000, 0.000], [0.000, 8.402, 0.000], [0.000, 0.000, 14.678]], "species": ["Pr", "Pr", "Pr", "Pr", "Pr", "Pr", "Pr", "Pr", "Pr", "Pr", "Pr", "Pr", "C", "C", "C", "C", "Ge", "Ge", "Ge", "Ge"], "fractional_positions": [[0.250, 0.662, 0.995], [0.750, 0.338, 0.005], [0.750, 0.838, 0.495], [0.250, 0.525, 0.398], [0.750, 0.200, 0.291], [0.250, 0.162, 0.505], [0.750, 0.475, 0.602], [0.750, 0.700, 0.209], [0.250, 0.025, 0.102], [0.250, 0.800, 0.709], [0.750, 0.975, 0.898], [0.250, 0.300, 0.791], [0.250, 0.662, 0.561], [0.750, 0.838, 0.061], [0.250, 0.162, 0.939], [0.750, 0.338, 0.439], [0.250, 0.914, 0.327], [0.750, 0.586, 0.827], [0.750, 0.086, 0.673], [0.250, 0.414, 0.173]]}

=====

> Which formula does entry 3 have?

Pr3GeC

=====

> Number 3 is which compound?

Pr3GeC